# YTh2TiN5, relaxed, DFT GGA-PBE
# - theoretical density (kg/m3) = 8444
# - spin magnetization (μB/cell) = 0.0
# - energy relative to the elements, uncorrected (eV/atom) = -1.54
data_YTh2TiN5
_chemical_formula_sum 'Y4 Th8 Ti4 N20'
_space_group_name_H-M_alt 'C m c 21'
_space_group_IT_number 36
_cell_length_a 3.521
_cell_length_b 13.982
_cell_length_c 10.721
_cell_angle_alpha 90.00
_cell_angle_beta 90.00
_cell_angle_gamma 90.00
loop_
_space_group_symop_operation_xyz
'x,y,z'
'-x,-y,z+1/2'
'-x,y,z'
'x,-y,z+1/2'
'x+1/2,y+1/2,z'
'-x+1/2,-y+1/2,z+1/2'
'-x+1/2,y+1/2,z'
'x+1/2,-y+1/2,z+1/2'
loop_
_atom_site_label
_atom_site_type_symbol
_atom_site_fract_x
_atom_site_fract_y
_atom_site_fract_z
_atom_site_occupancy
Y1 Y 0.000 0.213 0.000 1
Th1 Th 0.000 0.119 0.704 1
Th2 Th 0.000 0.136 0.280 1
Ti1 Ti 0.000 0.491 0.483 1
N1 N 0.000 0.045 0.056 1
N2 N 0.000 0.288 0.662 1
N3 N 0.000 0.304 0.355 1
N4 N 0.000 0.377 0.037 1
N5 N 0.000 0.489 0.804 1